Computed, not measured: an optimized crystal structure of Rb2SmAg2I6 at the PBE level of DFT.

## Properties
Formation energy from raw total energies: -0.955 eV/atom

The structure in POSCAR format:
```
Rb2SmAg2I6
1.0
6.893 -4.732 0.000
6.893 4.732 0.000
-3.998 0.000 7.798
Rb Sm Ag I
2 1 2 6
direct
0.217 0.217 0.173
0.783 0.783 0.827
0.000 0.000 0.500
0.465 0.465 0.626
0.535 0.535 0.374
0.183 0.732 0.218
0.247 0.247 0.614
0.268 0.817 0.782
0.732 0.183 0.218
0.753 0.753 0.386
0.817 0.268 0.782
```